Entry 1:
VASP calculation (PBE) on an optimized crystal structure of CeTmScSn.

For the total DFT energy (no corrections), the calculation gives -5.39 eV/atom. The calculation puts the formation energy from the elements at -0.2046 eV/atom. The calculation puts the density of states at the Fermi level at 27.65 states/eV per cell. The theoretical density is 7.83 g cm⁻³.

The structure belongs to space group F-43m (No. 216); the cell edges are 7.3749, 7.3749 and 7.3749 Å and the angles 90.00°, 90.00° and 90.00°. The asymmetric unit holds Ce at (0.0000, 0.0000, 0.0000), Tm at (0.2500, 0.2500, 0.7500), Sc at (0.2500, 0.2500, 0.2500) and Sn at (0.0000, 0.0000, 0.5000).

=====

Entry 2:
VASP calculation (PBE) on an optimized crystal structure of CeScZnSn.

For the total DFT energy (no corrections), the calculation gives -4.80 eV/atom. The calculation puts the formation energy from the elements at -0.4177 eV/atom. The calculation puts the density of states at the Fermi level at 28.94 states/eV per cell. The theoretical density is 6.47 g cm⁻³.

The structure belongs to space group F-43m (No. 216); the cell edges are 7.2386, 7.2386 and 7.2386 Å and the angles 90.00°, 90.00° and 90.00°. The asymmetric unit holds Ce at (0.0000, 0.0000, 0.0000), Sc at (0.0000, 0.0000, 0.5000), Zn at (0.2500, 0.2500, 0.2500) and Sn at (0.2500, 0.2500, 0.7500).

=====

Entry 3:
VASP calculation (PBE) on an optimized crystal structure of CeScTa.

For the total DFT energy (no corrections), the calculation gives -7.88 eV/atom. The calculation puts the formation energy from the elements at 0.1564 eV/atom. The calculation puts the density of states at the Fermi level at 24.43 states/eV per cell. The theoretical density is 9.02 g cm⁻³.

The structure belongs to space group C2/m (No. 12); the cell edges are 5.2782, 3.1788 and 16.0768 Å and the angles 90.00°, 92.26° and 90.00°. The asymmetric unit holds Ce at (0.1855, 0.0000, 0.0925), Sc at (0.1431, 0.0000, 0.7231) and Ta at (0.2396, 0.0000, 0.4291).

=====

Entry 4:
VASP calculation (PBE) on an optimized crystal structure of CeSc2Ta.

For the total DFT energy (no corrections), the calculation gives -7.18 eV/atom. The calculation puts the formation energy from the elements at 0.4277 eV/atom. The calculation puts the density of states at the Fermi level at 21.16 states/eV per cell. The theoretical density is 7.41 g cm⁻³.

The structure belongs to space group R-3m (No. 166, hexagonal axes); the cell edges are 3.0800, 3.0800 and 33.6130 Å and the angles 90.00°, 90.00° and 120.00°. The asymmetric unit holds Ce at (0.0000, 0.0000, 0.0000), Sc at (0.0000, 0.0000, 0.4163) and Ta at (0.0000, 0.0000, 0.5000).

=====

Entry 5:
VASP calculation (PBE) on an optimized crystal structure of Tb4CeSc5.

For the total DFT energy (no corrections), the calculation gives -5.37 eV/atom. The calculation puts the formation energy from the elements at 0.2415 eV/atom. The calculation puts the density of states at the Fermi level at 36.85 states/eV per cell. The theoretical density is 5.82 g cm⁻³.

The structure belongs to space group I4mm (No. 107); the cell edges are 10.0714, 10.0714 and 5.6290 Å and the angles 90.00°, 90.00° and 90.00°. The asymmetric unit holds Tb at (0.0000, 0.3220, 0.0000), Ce at (0.0000, 0.0000, 0.7381), Sc at (0.0000, 0.0000, 0.2096) and Sc at (0.1866, 0.1866, 0.4726).

=====

Entry 6:
VASP calculation (PBE) on an optimized crystal structure of TbCeSc2.

For the total DFT energy (no corrections), the calculation gives -5.74 eV/atom. The energy above the most stable polymorph in this dataset comes out at 0.03 eV per formula unit. The calculation puts the formation energy from the elements at 0.0701 eV/atom. The calculation puts the density of states at the Fermi level at 7.38 states/eV per cell. The theoretical density is 5.89 g cm⁻³.

The structure belongs to space group P4/mmm (No. 123); the cell edges are 3.4523, 3.4523 and 9.1931 Å and the angles 90.00°, 90.00° and 90.00°. The asymmetric unit holds Tb at (0.0000, 0.0000, 0.0000), Ce at (0.0000, 0.0000, 0.5000) and Sc at (0.5000, 0.5000, 0.2569).

=====

Entry 7:
VASP calculation (PBE) on an optimized crystal structure of TbCeSc.

For the total DFT energy (no corrections), the calculation gives -5.54 eV/atom. The energy above the most stable polymorph in this dataset comes out at 0.05 eV per formula unit. The calculation puts the formation energy from the elements at 0.0921 eV/atom. The calculation puts the density of states at the Fermi level at 14.31 states/eV per cell. The theoretical density is 6.67 g cm⁻³.

The structure belongs to space group P2_1/m (No. 11); the cell edges are 5.9380, 5.4388 and 5.9943 Å and the angles 90.00°, 117.81° and 90.00°. The asymmetric unit holds Tb at (0.1996, 0.2500, 0.0187), Ce at (0.1312, 0.7500, 0.6220) and Sc at (0.4865, 0.7500, 0.3281).

=====

Entry 8:
VASP calculation (PBE) on an optimized crystal structure of TbCeSc.

For the total DFT energy (no corrections), the calculation gives -5.52 eV/atom. The energy above the most stable polymorph in this dataset comes out at 0.11 eV per formula unit. The calculation puts the formation energy from the elements at 0.1107 eV/atom. The calculation puts the density of states at the Fermi level at 27.92 states/eV per cell. The theoretical density is 6.71 g cm⁻³.

The structure belongs to space group P2_1/c (No. 14); the cell edges are 9.4089, 5.7607 and 6.4529 Å and the angles 90.00°, 103.13° and 90.00°. The asymmetric unit holds Tb at (0.2327, 0.1885, 0.1162), Ce at (0.4279, 0.7111, 0.9862) and Sc at (0.0810, 0.6801, 0.2011).

=====

Entry 9:
VASP calculation (PBE) on an optimized crystal structure of Tb12CeSc7.

For the total DFT energy (no corrections), the calculation gives -5.15 eV/atom. The calculation puts the formation energy from the elements at 0.1444 eV/atom. The calculation puts the density of states at the Fermi level at 106.22 states/eV per cell. The theoretical density is 6.59 g cm⁻³.

The structure belongs to space group R-3 (No. 148, hexagonal axes); the cell edges are 14.8342, 14.8342 and 9.3716 Å and the angles 90.00°, 90.00° and 120.00°. The asymmetric unit holds Tb at (0.0230, 0.7723, 0.4032), Tb at (0.0746, 0.4859, 0.6253), Ce at (0.0000, 0.0000, 0.0000), Sc at (0.0000, 0.0000, 0.5000) and Sc at (0.0027, 0.8626, 0.7291).

=====

Entry 10:
VASP calculation (PBE) on an optimized crystal structure of TbCeSc2.

For the total DFT energy (no corrections), the calculation gives -5.71 eV/atom. The energy above the most stable polymorph in this dataset comes out at 0.16 eV per formula unit. The calculation puts the formation energy from the elements at 0.1012 eV/atom. The calculation puts the density of states at the Fermi level at 7.73 states/eV per cell. The theoretical density is 5.83 g cm⁻³.

The structure belongs to space group P4/mmm (No. 123); the cell edges are 5.4615, 5.4615 and 3.7162 Å and the angles 90.00°, 90.00° and 90.00°. The asymmetric unit holds Tb at (0.0000, 0.0000, 0.0000), Ce at (0.5000, 0.5000, 0.0000) and Sc at (0.0000, 0.5000, 0.5000).

=====

Entry 11:
VASP calculation (PBE) on an optimized crystal structure of Tb2CeSc.

For the total DFT energy (no corrections), the calculation gives -5.21 eV/atom. The energy above the most stable polymorph in this dataset comes out at 0.39 eV per formula unit. The calculation puts the formation energy from the elements at 0.1760 eV/atom. The calculation puts the density of states at the Fermi level at 23.56 states/eV per cell. The theoretical density is 7.16 g cm⁻³.

The structure belongs to space group R-3m (No. 166, hexagonal axes); the cell edges are 3.3483, 3.3483 and 36.0490 Å and the angles 90.00°, 90.00° and 120.00°. The asymmetric unit holds Tb at (0.0000, 0.0000, 0.0907), Ce at (0.0000, 0.0000, 0.0000) and Sc at (0.0000, 0.0000, 0.5000).

=====

Entry 12:
VASP calculation (PBE) on an optimized crystal structure of Tb2CeSc.

For the total DFT energy (no corrections), the calculation gives -5.30 eV/atom. The energy above the most stable polymorph in this dataset comes out at 0.00 eV per formula unit. The calculation puts the formation energy from the elements at 0.0773 eV/atom. The calculation puts the density of states at the Fermi level at 21.68 states/eV per cell. The theoretical density is 7.11 g cm⁻³.

The structure belongs to space group R3m (No. 160, hexagonal axes); the cell edges are 3.4663, 3.4663 and 33.8547 Å and the angles 90.00°, 90.00° and 120.00°. The asymmetric unit holds Tb at (0.0000, 0.0000, 0.0000), Tb at (0.0000, 0.0000, 0.1725), Ce at (0.0000, 0.0000, 0.4201) and Sc at (0.0000, 0.0000, 0.5859).

=====

Entry 13:
VASP calculation (PBE) on an optimized crystal structure of Tb14CeSc.

For the total DFT energy (no corrections), the calculation gives -4.79 eV/atom. The calculation puts the formation energy from the elements at 0.0318 eV/atom. The calculation puts the density of states at the Fermi level at 22.07 states/eV per cell. The theoretical density is 7.98 g cm⁻³.

The structure belongs to space group P4/mmm (No. 123); the cell edges are 7.0813, 7.0813 and 10.0020 Å and the angles 90.00°, 90.00° and 90.00°. The asymmetric unit holds Tb at (0.0000, 0.0000, 0.0000), Tb at (0.0000, 0.5000, 0.0000), Tb at (0.0000, 0.5000, 0.5000), Tb at (0.2494, 0.2494, 0.2534), Tb at (0.5000, 0.5000, 0.0000), Ce at (0.5000, 0.5000, 0.5000) and Sc at (0.0000, 0.0000, 0.5000).

=====

Entry 14:
VASP calculation (PBE) on an optimized crystal structure of Tb5CeSc.

For the total DFT energy (no corrections), the calculation gives -5.00 eV/atom. The calculation puts the formation energy from the elements at 0.0594 eV/atom. The calculation puts the density of states at the Fermi level at 12.67 states/eV per cell. The theoretical density is 7.59 g cm⁻³.

The structure belongs to space group P1 (No. 1); the cell edges are 6.0767, 6.0834 and 6.0905 Å and the angles 99.81°, 99.38° and 99.77°. The asymmetric unit holds Tb at (0.0000, 0.0000, 0.0000), Tb at (0.1355, 0.5724, 0.2927), Tb at (0.4227, 0.7064, 0.8545), Tb at (0.5679, 0.2876, 0.1479), Tb at (0.7149, 0.8645, 0.4379), Ce at (0.8514, 0.4252, 0.7171) and Sc at (0.2829, 0.1468, 0.5776).

=====

Entry 15:
VASP calculation (PBE) on an optimized crystal structure of Tb4CeSc3.

For the total DFT energy (no corrections), the calculation gives -5.01 eV/atom. The calculation puts the formation energy from the elements at 0.4211 eV/atom. The calculation puts the density of states at the Fermi level at 36.39 states/eV per cell. The theoretical density is 6.54 g cm⁻³.

The structure belongs to space group Cmmm (No. 65); the cell edges are 11.2156, 12.6506 and 3.2595 Å and the angles 90.00°, 90.00° and 90.00°. The asymmetric unit holds Tb at (0.0000, 0.2485, 0.0000), Tb at (0.2413, 0.0000, 0.5000), Ce at (0.0000, 0.0000, 0.0000), Sc at (0.0000, 0.5000, 0.0000) and Sc at (0.2500, 0.2500, 0.5000).

=====

Entry 16:
VASP calculation (PBE) on an optimized crystal structure of TbCe2Sc.

For the total DFT energy (no corrections), the calculation gives -5.61 eV/atom. The energy above the most stable polymorph in this dataset comes out at 0.01 eV per formula unit. The calculation puts the formation energy from the elements at 0.0935 eV/atom. The calculation puts the density of states at the Fermi level at 31.44 states/eV per cell. The theoretical density is 7.13 g cm⁻³.

The structure belongs to space group R3m (No. 160, hexagonal axes); the cell edges are 3.3970, 3.3970 and 33.8640 Å and the angles 90.00°, 90.00° and 120.00°. The asymmetric unit holds Tb at (0.0000, 0.0000, 0.0000), Ce at (0.0000, 0.0000, 0.4220), Ce at (0.0000, 0.0000, 0.5819) and Sc at (0.0000, 0.0000, 0.1694).

=====

Entry 17:
VASP calculation (PBE) on an optimized crystal structure of TbCe2Sc.

For the total DFT energy (no corrections), the calculation gives -5.60 eV/atom. The energy above the most stable polymorph in this dataset comes out at 0.06 eV per formula unit. The calculation puts the formation energy from the elements at 0.1068 eV/atom. The calculation puts the density of states at the Fermi level at 10.22 states/eV per cell. The theoretical density is 7.06 g cm⁻³.

The structure belongs to space group P4/mmm (No. 123); the cell edges are 4.7780, 4.7780 and 4.9864 Å and the angles 90.00°, 90.00° and 90.00°. The asymmetric unit holds Tb at (0.0000, 0.0000, 0.0000), Ce at (0.0000, 0.5000, 0.5000) and Sc at (0.5000, 0.5000, 0.0000).

=====

Entry 18:
VASP calculation (PBE) on an optimized crystal structure of Tb12CeSc2.

For the total DFT energy (no corrections), the calculation gives -4.84 eV/atom. The calculation puts the formation energy from the elements at 0.1088 eV/atom. The calculation puts the density of states at the Fermi level at 102.84 states/eV per cell. The theoretical density is 7.55 g cm⁻³.

The structure belongs to space group C2/m (No. 12); the cell edges are 7.1530, 11.2490 and 23.4219 Å and the angles 90.00°, 94.46° and 90.00°. The asymmetric unit holds Tb at (0.0167, 0.2413, 0.0682), Tb at (0.0364, 0.5000, 0.1497), Tb at (0.0374, 0.0000, 0.1561), Tb at (0.0794, 0.2488, 0.3211), Tb at (0.1050, 0.0000, 0.4224), Tb at (0.1059, 0.5000, 0.4217), Tb at (0.1395, 0.2504, 0.5578), Tb at (0.2015, 0.2502, 0.8037), Ce at (0.1928, 0.5000, 0.0000), Sc at (0.1778, 0.5000, 0.7140) and Sc at (0.1819, 0.0000, 0.7141).

=====

Entry 19:
VASP calculation (PBE) on an optimized crystal structure of Tb6CeSc.

For the total DFT energy (no corrections), the calculation gives -4.78 eV/atom. The calculation puts the formation energy from the elements at 0.2221 eV/atom. The calculation puts the density of states at the Fermi level at 16.64 states/eV per cell. The theoretical density is 7.56 g cm⁻³.

The structure belongs to space group P-1 (No. 2); the cell edges are 6.3979, 6.7545 and 6.7829 Å and the angles 118.88°, 100.77° and 91.20°. The asymmetric unit holds Tb at (0.2306, 0.4017, 0.4692), Tb at (0.2467, 0.9362, 0.9921), Tb at (0.2625, 0.9114, 0.5060), Ce at (0.5000, 0.5000, 0.0000) and Sc at (0.0000, 0.5000, 0.0000).

=====

Entry 20:
VASP calculation (PBE) on an optimized crystal structure of TbCeSc2.

For the total DFT energy (no corrections), the calculation gives -5.71 eV/atom. The energy above the most stable polymorph in this dataset comes out at 0.13 eV per formula unit. The calculation puts the formation energy from the elements at 0.0935 eV/atom. The calculation puts the density of states at the Fermi level at 26.84 states/eV per cell. The theoretical density is 5.82 g cm⁻³.

The structure belongs to space group Fm-3m (No. 225); the cell edges are 7.6290, 7.6290 and 7.6290 Å and the angles 90.00°, 90.00° and 90.00°. The asymmetric unit holds Tb at (0.0000, 0.0000, 0.0000), Ce at (0.0000, 0.0000, 0.5000) and Sc at (0.2500, 0.2500, 0.2500).